Run 1
Computed, not measured: crystalline BaTe2Rh at its relaxed geometry at the GGA-PBE level of DFT.

Structure (CIF):
```
data_BaTe2Rh
_space_group_name_H-M_alt 'P 1'
_space_group_IT_number 1
_cell_length_a 7.666
_cell_length_b 7.666
_cell_length_c 7.666
_cell_angle_alpha 90.00
_cell_angle_beta 90.00
_cell_angle_gamma 90.00
loop_
_space_group_symop_operation_xyz
'x,y,z'
loop_
_atom_site_label
_atom_site_type_symbol
_atom_site_fract_x
_atom_site_fract_y
_atom_site_fract_z
_atom_site_occupancy
Ba1 Ba 0.000 0.000 0.000 1
Ba2 Ba 0.000 0.500 0.500 1
Ba3 Ba 0.500 0.000 0.500 1
Ba4 Ba 0.500 0.500 0.000 1
Te1 Te 0.250 0.250 0.250 1
Te2 Te 0.250 0.250 0.750 1
Te3 Te 0.250 0.750 0.250 1
Te4 Te 0.250 0.750 0.750 1
Te5 Te 0.750 0.250 0.250 1
Te6 Te 0.750 0.250 0.750 1
Te7 Te 0.750 0.750 0.250 1
Te8 Te 0.750 0.750 0.750 1
Rh1 Rh 0.000 0.000 0.500 1
Rh2 Rh 0.000 0.500 0.000 1
Rh3 Rh 0.500 0.000 0.000 1
Rh4 Rh 0.500 0.500 0.500 1
```


Run 2
Computed, not measured: crystalline BaTe2Rh at its relaxed geometry at the GGA-PBE level of DFT.

Structure (CIF):
```
data_BaTe2Rh
_space_group_name_H-M_alt 'P 1'
_space_group_IT_number 1
_cell_length_a 4.454
_cell_length_b 4.454
_cell_length_c 20.568
_cell_angle_alpha 90.00
_cell_angle_beta 90.00
_cell_angle_gamma 120.00
loop_
_space_group_symop_operation_xyz
'x,y,z'
loop_
_atom_site_label
_atom_site_type_symbol
_atom_site_fract_x
_atom_site_fract_y
_atom_site_fract_z
_atom_site_occupancy
Ba1 Ba 0.000 0.000 0.000 1
Ba2 Ba 0.333 0.667 0.667 1
Ba3 Ba 0.667 0.333 0.333 1
Te1 Te 0.000 0.000 0.222 1
Te2 Te 0.000 0.000 0.778 1
Te3 Te 0.333 0.667 0.444 1
Te4 Te 0.333 0.667 0.889 1
Te5 Te 0.667 0.333 0.111 1
Te6 Te 0.667 0.333 0.556 1
Rh1 Rh 0.000 0.000 0.500 1
Rh2 Rh 0.333 0.667 0.167 1
Rh3 Rh 0.667 0.333 0.833 1
```


Run 3
Computed, not measured: crystalline BaTe2Rh at its relaxed geometry at the GGA-PBE level of DFT.

Structure (CIF):
```
data_BaTe2Rh
_space_group_name_H-M_alt 'P 1'
_space_group_IT_number 1
_cell_length_a 7.663
_cell_length_b 7.663
_cell_length_c 7.663
_cell_angle_alpha 90.00
_cell_angle_beta 90.00
_cell_angle_gamma 90.00
loop_
_space_group_symop_operation_xyz
'x,y,z'
loop_
_atom_site_label
_atom_site_type_symbol
_atom_site_fract_x
_atom_site_fract_y
_atom_site_fract_z
_atom_site_occupancy
Ba1 Ba 0.000 0.000 0.000 1
Ba2 Ba 0.000 0.500 0.500 1
Ba3 Ba 0.500 0.000 0.500 1
Ba4 Ba 0.500 0.500 0.000 1
Te1 Te 0.000 0.000 0.500 1
Te2 Te 0.000 0.500 0.000 1
Te3 Te 0.250 0.250 0.750 1
Te4 Te 0.250 0.750 0.250 1
Te5 Te 0.500 0.000 0.000 1
Te6 Te 0.500 0.500 0.500 1
Te7 Te 0.750 0.250 0.250 1
Te8 Te 0.750 0.750 0.750 1
Rh1 Rh 0.250 0.250 0.250 1
Rh2 Rh 0.250 0.750 0.750 1
Rh3 Rh 0.750 0.250 0.750 1
Rh4 Rh 0.750 0.750 0.250 1
```


Run 4
Computed, not measured: crystalline BaTe2Rh at its relaxed geometry at the GGA-PBE level of DFT.

Structure (CIF):
```
data_BaTe2Rh
_space_group_name_H-M_alt 'P 1'
_space_group_IT_number 1
_cell_length_a 4.062
_cell_length_b 4.062
_cell_length_c 7.365
_cell_angle_alpha 90.00
_cell_angle_beta 90.00
_cell_angle_gamma 90.00
loop_
_space_group_symop_operation_xyz
'x,y,z'
loop_
_atom_site_label
_atom_site_type_symbol
_atom_site_fract_x
_atom_site_fract_y
_atom_site_fract_z
_atom_site_occupancy
Ba1 Ba 0.000 0.000 0.000 1
Te1 Te 0.000 0.000 0.465 1
Te2 Te 0.500 0.500 0.773 1
Rh1 Rh 0.500 0.500 0.420 1
```


Quick one: most stable of them? run 2


Run 1
Computed, not measured: crystalline BaTe2Rh at its relaxed geometry at the GGA-PBE level of DFT.

Structure (CIF):
```
data_BaTe2Rh
_space_group_name_H-M_alt 'P 1'
_space_group_IT_number 1
_cell_length_a 4.133
_cell_length_b 4.133
_cell_length_c 28.329
_cell_angle_alpha 90.00
_cell_angle_beta 90.00
_cell_angle_gamma 120.00
loop_
_space_group_symop_operation_xyz
'x,y,z'
loop_
_atom_site_label
_atom_site_type_symbol
_atom_site_fract_x
_atom_site_fract_y
_atom_site_fract_z
_atom_site_occupancy
Ba1 Ba 0.000 0.000 0.000 1
Ba2 Ba 0.333 0.667 0.667 1
Ba3 Ba 0.667 0.333 0.333 1
Te1 Te 0.000 0.000 0.121 1
Te2 Te 0.000 0.000 0.879 1
Te3 Te 0.333 0.667 0.545 1
Te4 Te 0.333 0.667 0.788 1
Te5 Te 0.667 0.333 0.212 1
Te6 Te 0.667 0.333 0.455 1
Rh1 Rh 0.000 0.000 0.500 1
Rh2 Rh 0.333 0.667 0.167 1
Rh3 Rh 0.667 0.333 0.833 1
```


Run 2
Computed, not measured: crystalline BaTe2Rh at its relaxed geometry at the GGA-PBE level of DFT.

Structure (CIF):
```
data_BaTe2Rh
_space_group_name_H-M_alt 'P 1'
_space_group_IT_number 1
_cell_length_a 6.538
_cell_length_b 8.955
_cell_length_c 4.176
_cell_angle_alpha 90.00
_cell_angle_beta 90.00
_cell_angle_gamma 90.00
loop_
_space_group_symop_operation_xyz
'x,y,z'
loop_
_atom_site_label
_atom_site_type_symbol
_atom_site_fract_x
_atom_site_fract_y
_atom_site_fract_z
_atom_site_occupancy
Ba1 Ba 0.000 0.000 0.000 1
Ba2 Ba 0.500 0.500 0.000 1
Te1 Te 0.000 0.317 0.500 1
Te2 Te 0.000 0.683 0.500 1
Te3 Te 0.500 0.183 0.500 1
Te4 Te 0.500 0.817 0.500 1
Rh1 Rh 0.000 0.500 0.000 1
Rh2 Rh 0.500 0.000 0.000 1
```


Run 3
Computed, not measured: crystalline BaTe2Rh at its relaxed geometry at the GGA-PBE level of DFT.

Structure (CIF):
```
data_BaTe2Rh
_space_group_name_H-M_alt 'P 1'
_space_group_IT_number 1
_cell_length_a 4.092
_cell_length_b 6.474
_cell_length_c 9.258
_cell_angle_alpha 90.00
_cell_angle_beta 90.00
_cell_angle_gamma 90.00
loop_
_space_group_symop_operation_xyz
'x,y,z'
loop_
_atom_site_label
_atom_site_type_symbol
_atom_site_fract_x
_atom_site_fract_y
_atom_site_fract_z
_atom_site_occupancy
Ba1 Ba 0.000 0.000 0.000 1
Ba2 Ba 0.500 0.500 0.500 1
Te1 Te 0.000 0.500 0.180 1
Te2 Te 0.000 0.500 0.820 1
Te3 Te 0.500 0.000 0.320 1
Te4 Te 0.500 0.000 0.680 1
Rh1 Rh 0.000 0.000 0.500 1
Rh2 Rh 0.500 0.500 0.000 1
```


Run 4
Computed, not measured: crystalline BaTe2Rh at its relaxed geometry at the GGA-PBE level of DFT.

Structure (CIF):
```
data_BaTe2Rh
_space_group_name_H-M_alt 'P 1'
_space_group_IT_number 1
_cell_length_a 4.339
_cell_length_b 7.348
_cell_length_c 8.050
_cell_angle_alpha 90.00
_cell_angle_beta 90.00
_cell_angle_gamma 90.00
loop_
_space_group_symop_operation_xyz
'x,y,z'
loop_
_atom_site_label
_atom_site_type_symbol
_atom_site_fract_x
_atom_site_fract_y
_atom_site_fract_z
_atom_site_occupancy
Ba1 Ba 0.000 0.000 0.000 1
Ba2 Ba 0.500 0.500 0.000 1
Te1 Te 0.000 0.500 0.306 1
Te2 Te 0.000 0.500 0.694 1
Te3 Te 0.500 0.000 0.306 1
Te4 Te 0.500 0.000 0.694 1
Rh1 Rh 0.000 0.000 0.500 1
Rh2 Rh 0.500 0.500 0.500 1
```


Quick one: most stable of them? run 2


Run 1
Computed, not measured: crystalline BaTiRh2 at its relaxed geometry at the GGA-PBE level of DFT.

Structure (CIF):
```
data_BaTiRh2
_space_group_name_H-M_alt 'P 1'
_space_group_IT_number 1
_cell_length_a 6.855
_cell_length_b 6.855
_cell_length_c 6.855
_cell_angle_alpha 90.00
_cell_angle_beta 90.00
_cell_angle_gamma 90.00
loop_
_space_group_symop_operation_xyz
'x,y,z'
loop_
_atom_site_label
_atom_site_type_symbol
_atom_site_fract_x
_atom_site_fract_y
_atom_site_fract_z
_atom_site_occupancy
Ba1 Ba 0.000 0.000 0.000 1
Ba2 Ba 0.000 0.500 0.500 1
Ba3 Ba 0.500 0.000 0.500 1
Ba4 Ba 0.500 0.500 0.000 1
Ti1 Ti 0.000 0.000 0.500 1
Ti2 Ti 0.000 0.500 0.000 1
Ti3 Ti 0.500 0.000 0.000 1
Ti4 Ti 0.500 0.500 0.500 1
Rh1 Rh 0.250 0.250 0.250 1
Rh2 Rh 0.250 0.250 0.750 1
Rh3 Rh 0.250 0.750 0.250 1
Rh4 Rh 0.250 0.750 0.750 1
Rh5 Rh 0.750 0.250 0.250 1
Rh6 Rh 0.750 0.250 0.750 1
Rh7 Rh 0.750 0.750 0.250 1
Rh8 Rh 0.750 0.750 0.750 1
```


Run 2
Computed, not measured: crystalline BaTiRh2 at its relaxed geometry at the GGA-PBE level of DFT.

Structure (CIF):
```
data_BaTiRh2
_space_group_name_H-M_alt 'P 1'
_space_group_IT_number 1
_cell_length_a 7.426
_cell_length_b 7.426
_cell_length_c 6.723
_cell_angle_alpha 90.00
_cell_angle_beta 90.00
_cell_angle_gamma 90.00
loop_
_space_group_symop_operation_xyz
'x,y,z'
loop_
_atom_site_label
_atom_site_type_symbol
_atom_site_fract_x
_atom_site_fract_y
_atom_site_fract_z
_atom_site_occupancy
Ba1 Ba 0.000 0.000 0.000 1
Ba2 Ba 0.000 0.500 0.250 1
Ba3 Ba 0.500 0.000 0.750 1
Ba4 Ba 0.500 0.500 0.500 1
Ti1 Ti 0.000 0.000 0.500 1
Ti2 Ti 0.000 0.500 0.750 1
Ti3 Ti 0.500 0.000 0.250 1
Ti4 Ti 0.500 0.500 0.000 1
Rh1 Rh 0.176 0.250 0.625 1
Rh2 Rh 0.250 0.676 0.875 1
Rh3 Rh 0.250 0.824 0.375 1
Rh4 Rh 0.324 0.250 0.125 1
Rh5 Rh 0.676 0.750 0.125 1
Rh6 Rh 0.750 0.176 0.375 1
Rh7 Rh 0.750 0.324 0.875 1
Rh8 Rh 0.824 0.750 0.625 1
```


Quick one: most stable of them? run 2


Run 1
Computed, not measured: crystalline BaTi2Rh at its relaxed geometry at the GGA-PBE level of DFT.

Structure (CIF):
```
data_BaTi2Rh
_space_group_name_H-M_alt 'P 1'
_space_group_IT_number 1
_cell_length_a 6.775
_cell_length_b 6.775
_cell_length_c 6.775
_cell_angle_alpha 90.00
_cell_angle_beta 90.00
_cell_angle_gamma 90.00
loop_
_space_group_symop_operation_xyz
'x,y,z'
loop_
_atom_site_label
_atom_site_type_symbol
_atom_site_fract_x
_atom_site_fract_y
_atom_site_fract_z
_atom_site_occupancy
Ba1 Ba 0.000 0.000 0.000 1
Ba2 Ba 0.000 0.500 0.500 1
Ba3 Ba 0.500 0.000 0.500 1
Ba4 Ba 0.500 0.500 0.000 1
Ti1 Ti 0.250 0.250 0.250 1
Ti2 Ti 0.250 0.250 0.750 1
Ti3 Ti 0.250 0.750 0.250 1
Ti4 Ti 0.250 0.750 0.750 1
Ti5 Ti 0.750 0.250 0.250 1
Ti6 Ti 0.750 0.250 0.750 1
Ti7 Ti 0.750 0.750 0.250 1
Ti8 Ti 0.750 0.750 0.750 1
Rh1 Rh 0.000 0.000 0.500 1
Rh2 Rh 0.000 0.500 0.000 1
Rh3 Rh 0.500 0.000 0.000 1
Rh4 Rh 0.500 0.500 0.500 1
```


Run 2
Computed, not measured: crystalline BaTi2Rh at its relaxed geometry at the GGA-PBE level of DFT.

Structure (CIF):
```
data_BaTi2Rh
_space_group_name_H-M_alt 'P 1'
_space_group_IT_number 1
_cell_length_a 5.115
_cell_length_b 5.115
_cell_length_c 17.362
_cell_angle_alpha 90.00
_cell_angle_beta 90.00
_cell_angle_gamma 90.00
loop_
_space_group_symop_operation_xyz
'x,y,z'
loop_
_atom_site_label
_atom_site_type_symbol
_atom_site_fract_x
_atom_site_fract_y
_atom_site_fract_z
_atom_site_occupancy
Ba1 Ba 0.000 0.250 0.375 1
Ba2 Ba 0.000 0.750 0.625 1
Ba3 Ba 0.500 0.250 0.125 1
Ba4 Ba 0.500 0.750 0.875 1
Ti1 Ti 0.000 0.000 0.000 1
Ti2 Ti 0.000 0.500 0.000 1
Ti3 Ti 0.250 0.250 0.750 1
Ti4 Ti 0.250 0.750 0.250 1
Ti5 Ti 0.500 0.000 0.500 1
Ti6 Ti 0.500 0.500 0.500 1
Ti7 Ti 0.750 0.250 0.750 1
Ti8 Ti 0.750 0.750 0.250 1
Rh1 Rh 0.000 0.250 0.875 1
Rh2 Rh 0.000 0.750 0.125 1
Rh3 Rh 0.500 0.250 0.625 1
Rh4 Rh 0.500 0.750 0.375 1
```


Quick one: most stable of them? run 1